DFT (PBE-GGA) results for a geometry-optimized Ti2TcHPt structure. Values from VASP.

Properties
* space-group type: P4/mmm (123)
* energy: -38.2 eV per cell

Geometry as Quantum ESPRESSO input:
```
&SYSTEM
  ibrav = 0, nat = 5, ntyp = 4
/
ATOMIC_SPECIES
Ti 47.87 Ti.upf
Tc 98.00 Tc.upf
H 1.01 H.upf
Pt 195.08 Pt.upf
ATOMIC_POSITIONS crystal
Ti 0.0000 0.5000 0.0000
Ti 0.5000 0.0000 0.0000
Tc 0.0000 0.0000 0.5000
H 0.5000 0.5000 0.0000
Pt 0.5000 0.5000 0.5000
CELL_PARAMETERS angstrom
4.2690 0.0000 0.0000
0.0000 4.2690 0.0000
0.0000 0.0000 3.5204
```

---

DFT (PBE-GGA) results for a geometry-optimized Li2BeAl structure. Values from VASP.

Properties
* space-group type: Cm (8)
* energy of formation: 0.06 eV per atom
* energy: -11.0 eV per cell

Geometry as Quantum ESPRESSO input:
```
&SYSTEM
  ibrav = 0, nat = 4, ntyp = 3
/
ATOMIC_SPECIES
Li 6.94 Li.upf
Be 9.01 Be.upf
Al 26.98 Al.upf
ATOMIC_POSITIONS crystal
Li 0.0000 0.0000 0.0000
Li 0.2323 0.2323 0.7568
Be 0.7385 0.7385 0.2791
Al 0.4773 0.4773 0.4645
CELL_PARAMETERS angstrom
4.2607 -1.3617 0.0000
4.2607 1.3617 0.0000
-0.8287 0.0000 4.7977
```

---

no.,total magnetization (μB/atom)
1,0.000
2,0.000